# Li2SbH

Li2SbH after structural relaxation (GGA-PBE, Alexandria).

Cell: 3.2040 4.8661 9.0122 Å, 74.35 79.74 90.01°
With the nearest neighbours (Å) after each atom.
Fractional positions:
Li 0.6998 0.7474 0.1083  3 H 1.81-1.82
Li 0.8419 0.5349 0.8284  1 H 1.87
Li 0.0610 0.7575 0.3879  1 H 1.87
Li 0.2009 0.2482 0.1077  3 H 1.81-1.82
Sb 0.3682 0.0636 0.7752  1 Sb 2.85, 4 Li 2.94-2.96
Sb 0.5351 0.2326 0.4406  1 Sb 2.85, 4 Li 2.94-2.95
H 0.1698 0.8614 0.1685  4 Li 1.81-1.87
H 0.7312 0.4211 0.0473  4 Li 1.81-1.87

Properties
crystal system = triclinic
VASP energy = -3.191 eV/atom
relative energy among the computed polymorphs = 0 meV per atom
symmetry = No. 1